{
  "formula": "NiPH16NO10",
  "functional": "PBE with a Hubbard U",
  "state": "optimized geometry",
  "magnetic_moment_mub_per_atom": 0.064,
  "dft_energy_ev_per_atom": -5.2741,
  "rho_g_cm3": 1.95,
  "volume_a3_per_cell": 477.30,
  "cell": [[6.9768, 0.0000, 0.0000], [0.0000, 6.0746, 0.0000], [0.0000, 0.0000, 11.2619]],
  "species": ["Ni", "Ni", "P", "P", "H", "H", "H", "H", "H", "H", "H", "H", "H", "H", "H", "H", "H", "H", "H", "H", "H", "H", "H", "H", "H", "H", "H", "H", "H", "H", "H", "H", "H", "H", "H", "H", "N", "N", "O", "O", "O", "O", "O", "O", "O", "O", "O", "O", "O", "O", "O", "O", "O", "O", "O", "O", "O", "O"],
  "frac_coords": [[0.0000, 0.1446, 0.0000], [0.5000, 0.8554, 0.5000], [0.0000, 0.4886, 0.3732], [0.5000, 0.5114, 0.8732], [0.0000, 0.1278, 0.7289], [0.0000, 0.2565, 0.5913], [0.0000, 0.6938, 0.0350], [0.0000, 0.7902, 0.1682], [0.1177, 0.5225, 0.8835], [0.1202, 0.0112, 0.6178], [0.1803, 0.6528, 0.5712], [0.1826, 0.8635, 0.3573], [0.2011, 0.2990, 0.1929], [0.2442, 0.8868, 0.8696], [0.2558, 0.1132, 0.3696], [0.2989, 0.7010, 0.6929], [0.3174, 0.1365, 0.8573], [0.3197, 0.3472, 0.0712], [0.3798, 0.9888, 0.1178], [0.3823, 0.4775, 0.3835], [0.5000, 0.2098, 0.6682], [0.5000, 0.3062, 0.5350], [0.5000, 0.7435, 0.0913], [0.5000, 0.8722, 0.2289], [0.6177, 0.4775, 0.3835], [0.6202, 0.9888, 0.1178], [0.6803, 0.3472, 0.0712], [0.6826, 0.1365, 0.8573], [0.7011, 0.7010, 0.6929], [0.7442, 0.1132, 0.3696], [0.7558, 0.8868, 0.8696], [0.7989, 0.2990, 0.1929], [0.8174, 0.8635, 0.3573], [0.8197, 0.6528, 0.5712], [0.8798, 0.0112, 0.6178], [0.8823, 0.5225, 0.8835], [0.0000, 0.1061, 0.6379], [0.5000, 0.8939, 0.1379], [0.0000, 0.4708, 0.9279], [0.0000, 0.5059, 0.5113], [0.0000, 0.7243, 0.3178], [0.0000, 0.8314, 0.0823], [0.1839, 0.3662, 0.3310], [0.2010, 0.0435, 0.8768], [0.2252, 0.2433, 0.1093], [0.2748, 0.7567, 0.6093], [0.2990, 0.9565, 0.3768], [0.3161, 0.6338, 0.8310], [0.5000, 0.1686, 0.5823], [0.5000, 0.2757, 0.8178], [0.5000, 0.4941, 0.0113], [0.5000, 0.5292, 0.4279], [0.6839, 0.6338, 0.8310], [0.7010, 0.9565, 0.3768], [0.7252, 0.7567, 0.6093], [0.7748, 0.2433, 0.1093], [0.7990, 0.0435, 0.8768], [0.8161, 0.3662, 0.3310]]
}